1.
{"formula": "NiAgP", "functional": "PBE", "state": "relaxed", "lattice_angstrom": [[0.000, 2.924, 2.924], [2.924, 0.000, 2.924], [2.924, 2.924, 0.000]], "species": ["Ni", "Ag", "P"], "fractional_positions": [[0.000, 0.000, 0.000], [0.750, 0.750, 0.750], [0.500, 0.500, 0.500]], "de_polymorph_kj_per_mol_fu": 193, "delta_e_f_ev_per_atom": 0.54, "total_magnetization_mub_per_cell": 0.00}

2.
{"formula": "Gd2GeAs", "functional": "PBE", "state": "relaxed", "lattice_angstrom": [[2.040, 1.178, 7.169], [-2.040, 1.178, 7.169], [0.000, -2.356, 7.169]], "species": ["Gd", "Gd", "Ge", "As"], "fractional_positions": [[0.247, 0.247, 0.247], [0.753, 0.753, 0.753], [0.000, 0.000, 0.000], [0.500, 0.500, 0.500]], "delta_e_f_ev_per_atom": -1.09, "total_magnetization_mub_per_cell": 13.96}